[1]
The following is a PBE-GGA calculation of crystalline LiZn2Ru at its relaxed geometry, from Alexandria via LeMat-Bulk.

POSCAR file:
```
LiZn2Ru
1.0
4.5984 0.0098 -0.0110
3.9001 2.4361 -0.0110
0.4522 0.1301 5.0037
Li Ru Zn
1 1 2
direct
0.7500 0.7500 0.7500
0.2500 0.2500 0.2500
0.9954 0.9954 0.0014
0.5046 0.5046 0.4986
```

Summary:
total moment	0.0	μB per cell
mass density	7.10	g/cm³
SG	No. 12
energy relative to the elements	-28	meV per atom

=====

[2]
The following is a PBE-GGA calculation of crystalline Li23Zn6Ru at its relaxed geometry, from Alexandria via LeMat-Bulk.

POSCAR file:
```
Li23Zn6Ru
1.0
-4.9273 -3.5129 6.6081
4.0120 -3.4766 7.2182
-0.5558 4.2021 7.8942
Li Zn Ru
23 6 1
direct
0.6299 0.1234 0.1234
0.3701 0.8766 0.8766
0.1234 0.1234 0.6299
0.1234 0.1234 0.1234
0.8766 0.8766 0.3701
0.8766 0.8766 0.8766
0.1234 0.6299 0.1234
0.8766 0.3701 0.8766
0.5000 0.5000 0.0000
0.0000 0.0000 0.5000
0.5000 0.0000 0.0000
0.0000 0.5000 0.5000
0.5000 0.0000 0.5000
0.0000 0.5000 0.0000
0.8651 0.3783 0.3783
0.1349 0.6217 0.6217
0.3783 0.3783 0.8651
0.3783 0.3783 0.3783
0.6217 0.6217 0.1349
0.6217 0.6217 0.6217
0.3783 0.8651 0.3783
0.6217 0.1349 0.6217
0.0000 0.0000 0.0000
0.7374 0.7374 0.2626
0.2626 0.2626 0.7374
0.7374 0.2626 0.2626
0.2626 0.7374 0.7374
0.7374 0.2626 0.7374
0.2626 0.7374 0.2626
0.5000 0.5000 0.5000
```

Summary:
total moment	0.0	μB per cell
mass density	2.13	g/cm³
SG	No. 225
energy relative to the elements	-5	meV per atom

=====

[3]
The following is a PBE-GGA calculation of crystalline Li2ZrRu at its relaxed geometry, from Alexandria via LeMat-Bulk.

POSCAR file:
```
Li2ZrRu
1.0
-0.9218 2.4104 0.7202
-1.3867 0.7486 -4.2800
-4.7015 -2.1413 1.1488
Li Ru Zr
2 1 1
direct
0.0000 0.0000 0.0341
0.0000 0.0000 0.4659
0.5000 0.5000 0.2500
0.5000 0.5000 0.7500
```

Summary:
total moment	0.0	μB per cell
mass density	5.29	g/cm³
energy above the most stable polymorph in this dataset	0.182	eV per atom
SG	No. 47
energy relative to the elements	137	meV per atom

=====

[4]
The following is a PBE-GGA calculation of crystalline LiZrRu2 at its relaxed geometry, from Alexandria via LeMat-Bulk.

POSCAR file:
```
LiZrRu2
1.0
3.9578 0.0000 0.0000
0.0000 3.9578 0.0000
1.9789 1.9789 8.6424
Ru Zr Li
4 2 2
direct
0.5552 0.1250 0.2500
0.1948 0.6250 0.2500
0.3750 0.4448 0.7500
0.8750 0.8052 0.7500
0.0000 0.0000 0.0000
0.7500 0.2500 0.5000
0.5000 0.5000 0.0000
0.2500 0.7500 0.5000
```

Summary:
total moment	0.0	μB per cell
mass density	7.37	g/cm³
SG	No. 122
energy relative to the elements	330	meV per atom

=====

[5]
The following is a PBE-GGA calculation of crystalline LiZrRu2 at its relaxed geometry, from Alexandria via LeMat-Bulk.

POSCAR file:
```
LiZrRu2
1.0
-2.0785 4.1640 0.1857
-4.2591 1.8840 0.0651
-1.2412 0.9487 4.5080
Li Ru Zr
1 2 1
direct
0.2500 0.2500 0.2500
0.9948 0.9948 0.0254
0.5052 0.5052 0.4746
0.7500 0.7500 0.7500
```

Summary:
total moment	0.0	μB per cell
mass density	8.07	g/cm³
SG	No. 12
energy relative to the elements	-25	meV per atom

=====

[6]
The following is a PBE-GGA calculation of crystalline Li2ZrRu at its relaxed geometry, from Alexandria via LeMat-Bulk.

POSCAR file:
```
Li2ZrRu
1.0
-3.5485 9.5747 -0.3059
-3.4525 9.1188 -3.0477
-5.6857 8.3378 -1.5856
Li Ru Zr
2 1 1
direct
0.9890 0.9890 0.9890
0.5110 0.5110 0.5110
0.2500 0.2500 0.2500
0.7500 0.7500 0.7500
```

Summary:
total moment	0.2	μB per cell
mass density	5.07	g/cm³
energy above the most stable polymorph in this dataset	0.322	eV per atom
SG	No. 166
energy relative to the elements	277	meV per atom